Entry 1:
{"formula": "AlTe3", "functional": "PBE", "state": "relaxed", "cell": [[-2.6397, 7.0393, 2.6428], [-1.5567, -2.1397, -7.5168], [-3.9172, -1.9857, 1.3765]], "species": ["Te", "Te", "Al", "Te", "Te", "Te", "Te", "Al"], "fractional_positions": [[0.9255, 0.0745, 0.7500], [0.3969, 0.0579, 0.7500], [0.5500, 0.4500, 0.7500], [0.6031, 0.9421, 0.2500], [0.9421, 0.6031, 0.7500], [0.0745, 0.9255, 0.2500], [0.0579, 0.3969, 0.2500], [0.4500, 0.5500, 0.2500]], "volume_a3_per_fu": 128, "m_tot_mub_per_atom": 0.0000, "dft_energy_ev_per_atom": -3.1865, "raw_formation_energy_ev_per_fu": 0.4}


Entry 2:
{"formula": "Ca2Cu15Pt2", "functional": "PBE", "state": "relaxed", "cell": [[-6.1017, -1.5301, 1.7435], [0.0276, -6.0687, -2.4044], [1.5434, -3.0154, 5.5800]], "species": ["Cu", "Ca", "Cu", "Cu", "Ca", "Cu", "Cu", "Cu", "Pt", "Cu", "Cu", "Cu", "Cu", "Cu", "Cu", "Cu", "Cu", "Pt", "Cu"], "fractional_positions": [[0.5000, 0.0000, 0.0000], [0.6576, 0.6576, 0.6576], [0.1516, 0.6514, 0.6514], [0.7073, 0.0000, 0.2927], [0.3424, 0.3424, 0.3424], [0.6514, 0.1516, 0.6514], [0.8484, 0.3486, 0.3486], [0.3486, 0.8484, 0.3486], [0.8931, 0.8931, 0.8931], [0.2927, 0.0000, 0.7073], [0.0000, 0.7073, 0.2927], [0.6514, 0.6514, 0.1516], [0.7073, 0.2927, 0.0000], [0.3486, 0.3486, 0.8484], [0.0000, 0.0000, 0.5000], [0.0000, 0.5000, 0.0000], [0.0000, 0.2927, 0.7073], [0.1069, 0.1069, 0.1069], [0.2927, 0.7073, 0.0000]], "volume_a3_per_fu": 273, "m_tot_mub_per_atom": 0.0000, "dft_energy_ev_per_atom": -4.2181, "formation_energy_ev_per_atom": -0.138}


Entry 3:
{"formula": "Pr2NdHo3Se6", "functional": "PBE", "state": "relaxed", "cell": [[-0.1559, -3.2876, 2.4393], [3.3990, -4.7087, -6.1289], [7.1535, 4.8629, 3.5709]], "species": ["Se", "Se", "Pr", "Ho", "Se", "Nd", "Ho", "Se", "Se", "Pr", "Ho", "Se"], "fractional_positions": [[0.6701, 0.0717, 0.3402], [0.0044, 0.7409, 0.0089], [0.8332, 0.6666, 0.6665], [0.1672, 0.8333, 0.3343], [0.6623, 0.5942, 0.3247], [0.5000, 0.0000, 0.0000], [0.8328, 0.1667, 0.6657], [0.3299, 0.9283, 0.6598], [0.9956, 0.2591, 0.9911], [0.1668, 0.3334, 0.3335], [0.5000, 0.5000, 0.0000], [0.3377, 0.4058, 0.6753]], "volume_a3_per_fu": 305, "m_tot_mub_per_atom": 0.0000, "dft_energy_ev_per_atom": -5.8709, "raw_formation_energy_ev_per_fu": -21.5}


Entry 4:
{"formula": "BaHgRu", "functional": "PBE", "state": "relaxed", "cell": [[5.3162, 0.0000, 0.0000], [2.6581, 4.6039, 0.0000], [2.6581, 1.5346, 4.3406]], "species": ["Hg", "Ba", "Ru"], "fractional_positions": [[0.0000, 0.0000, 0.0000], [0.2500, 0.2500, 0.2500], [0.5000, 0.5000, 0.5000]], "volume_a3_per_fu": 106, "m_tot_mub_per_atom": 0.6852, "e_above_lowest_polymorph_kj_per_mol_fu": 238, "dft_energy_ev_per_atom": -2.7144, "formation_energy_ev_per_atom": 1.119}


Entry 5:
{"formula": "Sr8Hg2P", "functional": "PBE", "state": "relaxed", "cell": [[7.3823, 0.3326, 1.5557], [1.3297, 8.0088, 2.7427], [0.4708, -0.1178, 8.5554]], "species": ["Sr", "Sr", "Sr", "Hg", "Sr", "Hg", "P", "Sr", "Sr", "Sr", "Sr"], "fractional_positions": [[0.7579, 0.3465, 0.9438], [0.7814, 0.4198, 0.4198], [0.2421, 0.6535, 0.0562], [0.5615, 0.6813, 0.6813], [0.2475, 0.1311, 0.1311], [0.4385, 0.3187, 0.3187], [0.0000, 0.0000, 0.0000], [0.2186, 0.5802, 0.5802], [0.7579, 0.9438, 0.3465], [0.2421, 0.0562, 0.6535], [0.7525, 0.8689, 0.8689]], "volume_a3_per_fu": 499, "m_tot_mub_per_atom": 0.0000, "dft_energy_ev_per_atom": -2.1621, "formation_energy_ev_per_atom": -0.392}


Entry 6:
{"formula": "Cu2SiOs", "functional": "PBE", "state": "relaxed", "cell": [[2.9326, 0.0000, 0.0000], [0.0000, 4.0143, 0.0000], [0.0000, 0.0000, 4.3112]], "species": ["Cu", "Si", "Cu", "Os"], "fractional_positions": [[0.5000, 0.5000, 0.0000], [0.0000, 0.5000, 0.5000], [0.0000, 0.0000, 0.0000], [0.5000, 0.0000, 0.5000]], "volume_a3_per_fu": 51, "m_tot_mub_per_atom": 0.0000, "dft_energy_ev_per_atom": -6.1931, "raw_formation_energy_ev_per_fu": 0.1}


Entry 7:
{"formula": "Na3YRe", "functional": "PBE", "state": "relaxed", "cell": [[5.4600, 0.0000, 0.0000], [0.0000, 5.4600, 0.0000], [0.0000, 0.0000, 5.4600]], "species": ["Y", "Re", "Na", "Na", "Na"], "fractional_positions": [[0.5000, 0.5000, 0.5000], [0.0000, 0.0000, 0.0000], [0.0000, 0.5000, 0.0000], [0.5000, 0.0000, 0.0000], [0.0000, 0.0000, 0.5000]], "volume_a3_per_fu": 163, "m_tot_mub_per_atom": 0.3211, "e_above_lowest_polymorph_kj_per_mol_fu": 0, "dft_energy_ev_per_atom": -3.0132, "formation_energy_ev_per_atom": 1.561}


Entry 8:
{"formula": "ScPa2InN5", "functional": "PBE", "state": "relaxed", "cell": [[3.4483, 0.0000, 0.0000], [-1.7242, 6.9784, 0.0000], [0.0000, 0.0000, 10.7844]], "species": ["N", "Pa", "N", "N", "N", "Pa", "In", "N", "N", "Sc", "Pa", "N", "In", "N", "Sc", "Pa", "N", "N"], "fractional_positions": [[0.2820, 0.5641, 0.3431], [0.1386, 0.2772, 0.7143], [0.2860, 0.5721, 0.6466], [0.4829, 0.9658, 0.7809], [0.6309, 0.2618, 0.5750], [0.8715, 0.7431, 0.7443], [0.4925, 0.9850, 0.4809], [0.0781, 0.1562, 0.0464], [0.3691, 0.7382, 0.0750], [0.2306, 0.4611, 0.9924], [0.1285, 0.2569, 0.2443], [0.9219, 0.8438, 0.5464], [0.5075, 0.0150, 0.9809], [0.5171, 0.0342, 0.2809], [0.7694, 0.5389, 0.4924], [0.8614, 0.7228, 0.2143], [0.7140, 0.4279, 0.1466], [0.7180, 0.4359, 0.8431]], "volume_a3_per_fu": 130, "m_tot_mub_per_atom": 0.0000, "dft_energy_ev_per_atom": -8.8713, "raw_formation_energy_ev_per_fu": -10.2}


Entry 9:
{"formula": "TbTh", "functional": "PBE", "state": "relaxed", "cell": [[4.0063, 0.0000, 0.0000], [0.0000, 4.0063, 0.0000], [0.0000, 0.0000, 4.0063]], "species": ["Th", "Tb"], "fractional_positions": [[0.5000, 0.5000, 0.5000], [0.0000, 0.0000, 0.0000]], "volume_a3_per_fu": 64, "m_tot_mub_per_atom": 0.0000, "e_above_lowest_polymorph_kj_per_mol_fu": 30, "dft_energy_ev_per_atom": -5.8622, "formation_energy_ev_per_atom": 0.163}


Entry 10:
{"formula": "CsAgOF2", "functional": "PBE", "state": "relaxed", "cell": [[5.1715, 0.0000, 0.0000], [0.0000, 4.3331, 0.0000], [0.0000, 0.0000, 5.1715]], "species": ["F", "Ag", "Cs", "F", "O"], "fractional_positions": [[0.0000, 0.0000, 0.5000], [0.5000, 0.5000, 0.5000], [0.0000, 0.0000, 0.0000], [0.5000, 0.0000, 0.0000], [0.0000, 0.5000, 0.0000]], "volume_a3_per_fu": 116, "m_tot_mub_per_atom": 0.0000, "e_above_lowest_polymorph_kj_per_mol_fu": 422, "dft_energy_ev_per_atom": -2.8835, "raw_formation_energy_ev_per_fu": -2.0}


Entry 11:
{"formula": "Sr4CaPu3N8", "functional": "PBE", "state": "relaxed", "cell": [[7.1254, 0.0000, 0.0000], [0.0000, 7.2263, 0.0624], [-3.5627, -3.5570, 5.0435]], "species": ["N", "N", "N", "N", "Pu", "Sr", "Ca", "N", "Sr", "Pu", "Sr", "N", "Pu", "Sr", "N", "N"], "fractional_positions": [[0.2928, 0.3016, 0.0471], [0.2457, 0.6984, 0.9529], [0.2456, 0.6984, 0.4912], [0.7544, 0.3016, 0.5088], [0.0000, 0.5000, 0.5000], [0.0000, 0.0000, 0.0000], [0.0000, 0.5000, 0.0000], [0.7358, 0.7072, 0.4716], [0.5000, 0.0000, 0.5000], [0.5000, 0.5000, 0.5000], [0.0000, 0.0000, 0.5000], [0.7543, 0.3016, 0.0471], [0.5000, 0.5000, 0.0000], [0.5000, 0.0000, 0.0000], [0.2642, 0.2928, 0.5284], [0.7072, 0.6984, 0.9529]], "volume_a3_per_fu": 261, "m_tot_mub_per_atom": 0.6250, "dft_energy_ev_per_atom": -8.3902, "raw_formation_energy_ev_per_fu": -15.9}


Entry 12:
{"formula": "NaZn4Sn4", "functional": "PBE", "state": "relaxed", "cell": [[5.9344, 0.0000, 0.0000], [0.0000, 8.8791, 0.0000], [0.0000, 0.0000, 8.8791]], "species": ["Sn", "Sn", "Sn", "Zn", "Zn", "Na", "Sn", "Zn", "Zn", "Sn", "Zn", "Zn", "Sn", "Sn", "Zn", "Na", "Zn", "Sn"], "fractional_positions": [[0.1203, 0.8550, 0.3579], [0.6203, 0.8579, 0.6450], [0.1203, 0.1450, 0.6421], [0.1255, 0.8338, 0.6664], [0.3745, 0.3338, 0.1664], [0.5000, 0.5000, 0.5000], [0.6203, 0.1421, 0.3550], [0.6255, 0.8336, 0.3338], [0.1255, 0.1662, 0.3336], [0.8797, 0.3579, 0.1450], [0.3745, 0.6662, 0.8336], [0.8745, 0.3336, 0.8338], [0.3797, 0.6450, 0.1421], [0.3797, 0.3550, 0.8579], [0.8745, 0.6664, 0.1662], [0.0000, 0.0000, 0.0000], [0.6255, 0.1664, 0.6662], [0.8797, 0.6421, 0.8550]], "volume_a3_per_fu": 234, "m_tot_mub_per_atom": 0.0000, "dft_energy_ev_per_atom": -2.4363, "formation_energy_ev_per_atom": 0.055}


Entry 13:
{"formula": "TlGa2H", "functional": "PBE", "state": "relaxed", "cell": [[5.0957, 0.0000, 0.0000], [0.0000, 5.0957, 0.0000], [2.5479, 2.5479, 6.1706]], "species": ["Ga", "Ga", "Ga", "Ga", "Tl", "H", "H", "Tl"], "fractional_positions": [[0.3750, 0.6899, 0.7500], [0.4399, 0.6250, 0.2500], [0.3101, 0.1250, 0.2500], [0.8750, 0.5601, 0.7500], [0.0000, 0.0000, 0.0000], [0.2500, 0.7500, 0.5000], [0.5000, 0.5000, 0.0000], [0.7500, 0.2500, 0.5000]], "volume_a3_per_fu": 80, "m_tot_mub_per_atom": 0.0000, "e_above_lowest_polymorph_kj_per_mol_fu": 0, "dft_energy_ev_per_atom": -2.6668}


Entry 14:
{"formula": "CsSr2PmI8", "functional": "PBE", "state": "relaxed", "cell": [[-4.1523, -6.6232, -1.1770], [6.3871, -3.9936, -0.3694], [-0.3849, -1.5790, 10.1927]], "species": ["I", "I", "Pm", "Cs", "Sr", "I", "I", "I", "I", "I", "Sr", "I"], "fractional_positions": [[0.1583, 0.7539, 0.2076], [0.3912, 0.2618, 0.5003], [0.0000, 0.0000, 0.0000], [0.0000, 0.0000, 0.5000], [0.5001, 0.5000, 0.7507], [0.3279, 0.2503, 0.0002], [0.1592, 0.7547, 0.7927], [0.6721, 0.7497, 0.9998], [0.8408, 0.2453, 0.2073], [0.8417, 0.2461, 0.7924], [0.4999, 0.5000, 0.2493], [0.6088, 0.7382, 0.4997]], "volume_a3_per_fu": 615, "m_tot_mub_per_atom": 0.0000, "dft_energy_ev_per_atom": -3.3163, "raw_formation_energy_ev_per_fu": -18.4}


Entry 15:
{"formula": "HfNbRe2", "functional": "PBE", "state": "relaxed", "cell": [[4.8430, -1.6355, -3.1275], [-1.2860, 4.9473, 3.1275], [-3.3677, 0.0510, 4.9565]], "species": ["Hf", "Nb", "Re", "Re"], "fractional_positions": [[0.0000, 0.5000, 0.5000], [0.0000, 0.0000, 0.0000], [0.0000, 0.7606, 0.7606], [0.0000, 0.2394, 0.2394]], "volume_a3_per_fu": 73, "m_tot_mub_per_atom": 0.0000, "dft_energy_ev_per_atom": -10.4895, "formation_energy_ev_per_atom": 0.740}


Entry 16:
{"formula": "Tl6PbS8", "functional": "PBE", "state": "relaxed", "cell": [[-1.2002, -6.1305, 4.1096], [3.4955, -3.3807, -5.6801], [6.1335, 2.3194, 3.5934]], "species": ["S", "S", "S", "Tl", "Tl", "Pb", "Tl", "S", "Tl", "S", "S", "S", "S", "Tl", "Tl"], "fractional_positions": [[0.8721, 0.3440, 0.1748], [0.6560, 0.8252, 0.1279], [0.3440, 0.1748, 0.8721], [0.6774, 0.3882, 0.8591], [0.3882, 0.8591, 0.6774], [0.0000, 0.0000, 0.0000], [0.1409, 0.3226, 0.6118], [0.1748, 0.8721, 0.3440], [0.8591, 0.6774, 0.3882], [0.8252, 0.1279, 0.6560], [0.3286, 0.3286, 0.3286], [0.6714, 0.6714, 0.6714], [0.1279, 0.6560, 0.8252], [0.3226, 0.6118, 0.1409], [0.6118, 0.1409, 0.3226]], "volume_a3_per_fu": 408, "m_tot_mub_per_atom": 0.0000, "dft_energy_ev_per_atom": -3.4801, "raw_formation_energy_ev_per_fu": -1.3}


Entry 17:
{"formula": "NaCu3Cl8", "functional": "PBE", "state": "relaxed", "cell": [[6.5481, 0.0001, 0.0000], [-3.2741, 5.6708, 0.0000], [0.0000, 0.0000, 7.9462]], "species": ["Cl", "Cu", "Cl", "Cu", "Na", "Cl", "Cl", "Cl", "Cl", "Cl", "Cl", "Cu"], "fractional_positions": [[0.9648, 0.2693, 0.8202], [0.0000, 0.0000, 0.0000], [0.3045, 0.0352, 0.8202], [0.6667, 0.3333, 0.7594], [0.0000, 0.0000, 0.5000], [0.2693, 0.3045, 0.1798], [0.0352, 0.7307, 0.1798], [0.6955, 0.9648, 0.1798], [0.7307, 0.6955, 0.8202], [0.3333, 0.6667, 0.5154], [0.6667, 0.3333, 0.4846], [0.3333, 0.6667, 0.2406]], "volume_a3_per_fu": 295, "m_tot_mub_per_atom": 0.0000, "dft_energy_ev_per_atom": -2.9274, "raw_formation_energy_ev_per_fu": -6.7}


Entry 18:
{"formula": "BPdI2", "functional": "PBE", "state": "relaxed", "cell": [[3.0498, -3.7099, -1.4799], [-1.8660, -4.5785, -0.9004], [-0.2499, -1.7295, -4.7118]], "species": ["I", "B", "Pd", "I"], "fractional_positions": [[0.2500, 0.2500, 0.2500], [0.0000, 0.0000, 0.0000], [0.5000, 0.5000, 0.5000], [0.7500, 0.7500, 0.7500]], "volume_a3_per_fu": 90, "m_tot_mub_per_atom": 0.0000, "e_above_lowest_polymorph_kj_per_mol_fu": 167, "dft_energy_ev_per_atom": -2.5371, "raw_formation_energy_ev_per_fu": 4.8}


Entry 19:
{"formula": "RbAuI3", "functional": "PBE", "state": "relaxed", "cell": [[3.3676, -7.3791, 0.0000], [3.3676, 7.3791, 0.0000], [0.0000, 0.0000, 9.4310]], "species": ["I", "Rb", "Au", "I", "I", "I", "Au", "Rb", "I", "I"], "fractional_positions": [[0.0130, 0.5144, 0.7500], [0.5230, 0.4770, 0.7500], [0.8921, 0.1079, 0.7500], [0.0000, 0.0000, 0.5000], [0.4856, 0.9870, 0.7500], [0.0000, 0.0000, 0.0000], [0.1079, 0.8921, 0.2500], [0.4770, 0.5230, 0.2500], [0.9870, 0.4856, 0.2500], [0.5144, 0.0130, 0.2500]], "volume_a3_per_fu": 234, "m_tot_mub_per_atom": 0.0000, "dft_energy_ev_per_atom": -2.2716, "raw_formation_energy_ev_per_fu": -2.5}


Entry 20:
{"formula": "KNbOs2", "functional": "PBE", "state": "relaxed", "cell": [[-6.1504, -2.4601, 3.7989], [-2.6614, -3.2184, -6.3930], [-3.0660, -5.2085, -0.6621]], "species": ["Os", "Nb", "Nb", "K", "Os", "Os", "K", "Os"], "fractional_positions": [[0.0761, 0.6250, 0.2500], [0.0000, 0.0000, 0.0000], [0.7500, 0.2500, 0.5000], [0.5000, 0.5000, 0.0000], [0.6739, 0.1250, 0.2500], [0.3750, 0.3261, 0.7500], [0.2500, 0.7500, 0.5000], [0.8750, 0.9239, 0.7500]], "volume_a3_per_fu": 81, "m_tot_mub_per_atom": 0.0000, "e_above_lowest_polymorph_kj_per_mol_fu": 69, "dft_energy_ev_per_atom": -6.9475, "formation_energy_ev_per_atom": 1.459}